Record 1
DFT (PBE) results for TaCo2Sb2 after structural relaxation.

Geometry as POSCAR:
```
TaCo2Sb2
1.0
6.8060 0.0000 0.0000
0.0000 6.8060 0.0000
0.0000 0.0000 3.5667
Ta Co Sb
2 4 4
Cartesian
0.0000 0.0000 0.0000
3.4030 3.4030 0.0000
0.8421 2.5609 0.0000
2.5609 5.9639 0.0000
4.2451 0.8421 0.0000
5.9639 4.2451 0.0000
1.2007 4.6037 1.7834
2.2023 1.2007 1.7834
4.6037 5.6053 1.7834
5.6053 2.2023 1.7834
```

Values from the calculation:
Formation energy (no corrections) ... 0.7 eV per formula unit


Record 2
DFT (PBE) results for InOs2Br after structural relaxation.

Geometry as POSCAR:
```
InOs2Br
1.0
1.4611 -2.6330 0.0000
1.4611 2.6330 0.0000
0.0000 0.0000 9.1285
In Os Br
1 2 1
Cartesian
0.0000 0.0000 0.0000
1.4611 0.0000 2.3087
1.4611 0.0000 6.8197
0.0000 0.0000 4.5642
```

Values from the calculation:
Energy above the most stable polymorph in this dataset ... 0.690 eV per atom
Formation energy (no corrections) ... 4.6 eV per formula unit


Record 3
DFT (PBE) results for LiSmCd2O4 after structural relaxation.

Geometry as POSCAR:
```
LiSmCd2O4
1.0
1.6672 -5.5082 0.0000
1.6672 5.5082 0.0000
0.0000 0.0000 11.3031
Li Sm Cd O
2 2 4 8
Cartesian
1.6672 3.8552 8.4773
1.6672 -3.8552 2.8258
1.6672 4.2471 2.8258
1.6672 -4.2471 8.4773
1.6672 1.4495 0.5797
1.6672 1.4495 5.0719
1.6672 -1.4495 6.2312
1.6672 -1.4495 10.7234
0.0000 0.0000 0.0000
0.0000 0.0000 5.6515
1.6672 2.4443 7.1391
1.6672 2.4443 9.8156
1.6672 0.4754 2.8258
1.6672 -0.4754 8.4773
1.6672 -2.4443 1.4875
1.6672 -2.4443 4.1640
```

Values from the calculation:
Formation energy (no corrections) ... -14.9 eV per formula unit


Record 4
DFT (PBE) results for RbAcP2 after structural relaxation.

Geometry as POSCAR:
```
RbAcP2
1.0
5.1246 0.0000 0.0000
0.0000 5.1246 0.0000
0.0000 0.0000 4.1882
Rb Ac P
1 1 2
Cartesian
0.0000 0.0000 0.0000
2.5623 2.5623 0.0000
0.0000 2.5623 2.0941
2.5623 0.0000 2.0941
```

Values from the calculation:
Energy of formation from the pure elements ... -0.3614 eV per atom
Energy above the most stable polymorph in this dataset ... 0.074 eV per atom


Record 5
DFT (PBE) results for RuF after structural relaxation.

Geometry as POSCAR:
```
RuF
1.0
-5.3501 5.3501 1.3463
5.3501 -5.3501 1.3463
5.3501 5.3501 -1.3463
Ru F
4 4
Cartesian
3.3412 1.9474 0.0000
3.4027 -2.0089 1.3463
1.9474 7.3590 0.0000
2.0089 3.4027 1.3463
5.4168 1.9018 0.0000
1.9018 5.2834 0.0000
3.4483 0.0667 1.3463
-0.0667 3.4483 1.3463
```

Values from the calculation:
Energy above the most stable polymorph in this dataset ... 0.429 eV per atom
Formation energy (no corrections) ... -0.5 eV per formula unit


Record 6
DFT (PBE) results for K2LiS2O4F2 after structural relaxation.

Geometry as POSCAR:
```
K2LiS2O4F2
1.0
5.1445 0.0000 0.0000
0.0000 5.5545 0.0000
-2.4903 0.0000 7.5298
K Li S O F
2 1 2 4 2
Cartesian
0.0000 0.0000 0.0000
-0.6052 2.7772 4.2023
2.7859 0.0000 1.9235
2.1301 2.7772 1.4672
1.7869 0.0000 4.3373
2.3548 1.5429 0.6691
2.3548 4.0116 0.6691
2.3139 1.2638 5.0060
2.3139 4.2906 5.0060
-0.6997 0.0000 2.4786
0.3823 2.7772 1.4919
```

Values from the calculation:
Energy above the most stable polymorph in this dataset ... 0.062 eV per atom
Formation energy (no corrections) ... -19.2 eV per formula unit


Record 7
DFT (PBE) results for LiZnCu2 after structural relaxation.

Geometry as POSCAR:
```
LiZnCu2
1.0
2.5873 0.0000 0.0000
0.0000 3.7542 0.0000
-0.0125 0.0000 5.2650
Li Zn Cu
1 1 2
Cartesian
0.0000 0.0000 0.0000
-0.0063 0.0000 2.6325
1.2883 1.8771 1.3114
1.2865 1.8771 3.9536
```

Values from the calculation:
Energy of formation from the pure elements ... -0.0893 eV per atom


Record 8
DFT (PBE) results for InCu3Ge after structural relaxation.

Geometry as POSCAR:
```
InCu3Ge
1.0
5.2358 0.0000 0.0000
-1.3912 5.2783 0.0000
-1.1530 -3.0193 5.6323
In Cu Ge
2 6 2
Cartesian
0.0000 0.0000 0.0000
1.2677 3.1577 0.6620
-0.1348 1.4401 2.2991
0.7033 -1.1935 2.2900
1.4682 0.5077 3.9583
2.3665 0.5564 1.3946
2.7912 2.4478 2.9277
3.8401 2.4236 0.3193
0.0983 2.9269 4.3784
3.7783 -0.3810 3.4837
```

Values from the calculation:
Energy of formation from the pure elements ... 0.0547 eV per atom
Energy above the most stable polymorph in this dataset ... 0.000 eV per atom